Here is Tb3NO2 after structural relaxation from the Alexandria database. Energies are from GGA-PBE.

**Symmetry**: Pnma
**Total DFT energy (no corrections)**: -7.854 eV/atom
**Crystal system**: orthorhombic
**Raw formation energy**: -2.499 eV/atom

a = 4.865 Å, b = 6.902 Å, c = 10.366 Å
α = 90.00°, β = 90.00°, γ = 90.00°
Fractional positions:
Tb: 0.250 0.629 0.920
O: 0.250 0.875 0.752
Tb: 0.750 0.379 0.420
O: 0.750 0.625 0.252
Tb: 0.250 0.121 0.920
Tb: 0.250 0.125 0.249
Tb: 0.750 0.375 0.749
Tb: 0.750 0.371 0.080
O: 0.750 0.125 0.248
N: 0.250 0.873 0.083
N: 0.750 0.127 0.917
O: 0.250 0.375 0.748
O: 0.750 0.124 0.584
O: 0.750 0.624 0.916
N: 0.750 0.627 0.583
Tb: 0.750 0.871 0.420
Tb: 0.750 0.875 0.751
Tb: 0.250 0.625 0.251
O: 0.250 0.376 0.084
Tb: 0.250 0.621 0.580
O: 0.250 0.876 0.416
N: 0.250 0.373 0.417
Tb: 0.750 0.879 0.080
Tb: 0.250 0.129 0.580

---

Here is Ca2YBr after structural relaxation from the Alexandria database. Energies are from GGA-PBE.

**Symmetry**: P4/mmm
**Polymorph energy (0 for the lowest one)**: 0.3677 eV per atom
**Total DFT energy (no corrections)**: -3.308 eV/atom
**Crystal system**: tetragonal
**Raw formation energy**: -0.273 eV/atom

a = 3.742 Å, b = 6.164 Å, c = 6.164 Å
α = 90.00°, β = 90.00°, γ = 90.00°
Fractional positions:
Ca: 0.000 0.500 0.500
Y: 0.500 0.500 0.000
Br: 0.500 0.000 0.500
Ca: 0.000 0.000 0.000

---

Here is AlFeAg2 after structural relaxation from the Alexandria database. Energies are from GGA-PBE.

**Symmetry**: Cmmm
**Total DFT energy (no corrections)**: -4.233 eV/atom
**Crystal system**: orthorhombic
**Energy of formation from the pure elements**: 244 meV per atom

a = 2.777 Å, b = 2.777 Å, c = 9.192 Å
α = 90.00°, β = 90.00°, γ = 114.35°
Fractional positions:
Ag: 0.000 0.000 0.501
Ag: 0.000 0.000 0.999
Fe: 0.500 0.500 0.750
Al: 0.500 0.500 0.250

---

Here is Mn3SbS6 after structural relaxation from the Alexandria database. Energies are from GGA-PBE.

**Symmetry**: Cmc2_1
**Total DFT energy (no corrections)**: -6.000 eV/atom
**Crystal system**: orthorhombic
**Raw formation energy**: -0.361 eV/atom

a = 6.888 Å, b = 8.043 Å, c = 8.043 Å
α = 104.81°, β = 90.00°, γ = 90.00°
Fractional positions:
S: 0.040 0.650 0.675
S: 0.245 0.747 0.253
Mn: 0.592 0.331 0.023
Mn: 0.092 0.669 0.977
Mn: 0.285 0.527 0.473
S: 0.305 0.442 0.916
S: 0.540 0.675 0.650
Sb: 0.124 0.164 0.836
Mn: 0.092 0.023 0.331
S: 0.745 0.253 0.747
S: 0.805 0.558 0.084
S: 0.305 0.084 0.558
Mn: 0.592 0.977 0.669
S: 0.456 0.054 0.946
S: 0.956 0.946 0.054
S: 0.040 0.325 0.350
S: 0.540 0.350 0.325
S: 0.805 0.916 0.442
Sb: 0.624 0.836 0.164
Mn: 0.785 0.473 0.527

---

Here is Tm3Sc5Sn2 after structural relaxation from the Alexandria database. Energies are from GGA-PBE.

**Symmetry**: Ibam
**Total DFT energy (no corrections)**: -5.378 eV/atom
**Crystal system**: orthorhombic
**Energy of formation from the pure elements**: -70 meV per atom

a = 6.041 Å, b = 9.990 Å, c = 9.990 Å
α = 95.62°, β = 72.40°, γ = 72.40°
Fractional positions:
Tm: 0.883 0.894 0.341
Sc: 0.609 0.231 0.551
Sc: 0.008 0.742 0.742
Sc: 0.508 0.742 0.742
Tm: 0.383 0.341 0.894
Sc: 0.992 0.258 0.258
Sc: 0.109 0.551 0.231
Sc: 0.250 0.500 0.500
Sn: 0.649 0.001 0.700
Tm: 0.250 0.000 0.000
Sn: 0.149 0.700 0.001
Sc: 0.391 0.769 0.449
Tm: 0.617 0.659 0.106
Sn: 0.851 0.300 0.999
Tm: 0.750 0.000 0.000
Tm: 0.117 0.106 0.659
Sc: 0.492 0.258 0.258
Sc: 0.750 0.500 0.500
Sc: 0.891 0.449 0.769
Sn: 0.351 0.999 0.300

---

Here is PrHoSnHg after structural relaxation from the Alexandria database. Energies are from GGA-PBE.

**Symmetry**: F-43m
**Polymorph energy (0 for the lowest one)**: 0.0065 eV per atom
**Total DFT energy (no corrections)**: -3.984 eV/atom
**Crystal system**: cubic
**Energy of formation from the pure elements**: -569 meV per atom

a = 5.379 Å, b = 5.379 Å, c = 5.379 Å
α = 60.00°, β = 60.00°, γ = 60.00°
Fractional positions:
Ho: 0.250 0.250 0.250
Sn: 0.000 0.000 0.000
Hg: 0.500 0.500 0.500
Pr: 0.750 0.750 0.750

---

Here is RbAg5Cl7 after structural relaxation from the Alexandria database. Energies are from GGA-PBE.

**Symmetry**: P2_1/m
**Polymorph energy (0 for the lowest one)**: 0.0000 eV per atom
**Total DFT energy (no corrections)**: -2.836 eV/atom
**Crystal system**: monoclinic
**Raw formation energy**: -0.670 eV/atom

a = 4.230 Å, b = 7.177 Å, c = 23.142 Å
α = 89.98°, β = 90.01°, γ = 112.31°
Fractional positions:
Cl: 0.069 0.147 0.605
Cl: 0.932 0.854 0.395
Rb: 0.242 0.374 0.750
Cl: 0.533 0.001 0.750
Cl: 0.126 0.386 0.338
Ag: 0.276 0.580 0.070
Rb: 0.758 0.627 0.250
Cl: 0.874 0.615 0.838
Ag: 0.277 0.580 0.430
Cl: 0.622 0.277 0.032
Ag: 0.000 0.000 0.500
Ag: 0.724 0.421 0.570
Ag: 0.000 0.001 0.000
Cl: 0.874 0.615 0.662
Ag: 0.724 0.421 0.930
Cl: 0.379 0.724 0.532
Cl: 0.622 0.277 0.468
Ag: 0.491 0.880 0.856
Cl: 0.468 0.000 0.250
Ag: 0.509 0.121 0.144
Ag: 0.491 0.880 0.644
Cl: 0.932 0.854 0.105
Ag: 0.509 0.121 0.356
Cl: 0.126 0.386 0.162
Cl: 0.379 0.724 0.969
Cl: 0.068 0.147 0.895

---

Here is RbSrLa2 after structural relaxation from the Alexandria database. Energies are from GGA-PBE.

**Symmetry**: Fm-3m
**Polymorph energy (0 for the lowest one)**: 0.0000 eV per atom
**Total DFT energy (no corrections)**: -2.589 eV/atom
**Crystal system**: cubic
**Energy of formation from the pure elements**: 537 meV per atom

a = 6.425 Å, b = 6.425 Å, c = 6.425 Å
α = 60.00°, β = 60.00°, γ = 60.00°
Fractional positions:
La: 0.750 0.750 0.750
Sr: 0.500 0.500 0.500
La: 0.250 0.250 0.250
Rb: 0.000 0.000 0.000

---

Here is Mn8Ge after structural relaxation from the Alexandria database. Energies are from GGA-PBE.

**Symmetry**: Fmmm
**Total DFT energy (no corrections)**: -8.631 eV/atom
**Crystal system**: orthorhombic
**Energy of formation from the pure elements**: 33 meV per atom

a = 3.830 Å, b = 5.138 Å, c = 6.011 Å
α = 83.18°, β = 71.42°, γ = 68.13°
Fractional positions:
Mn: 0.343 0.653 0.660
Mn: 0.997 0.347 0.660
Mn: 0.664 0.000 0.673
Mn: 0.336 0.000 0.327
Ge: 0.000 0.000 0.000
Mn: 0.003 0.653 0.340
Mn: 0.322 0.355 0.000
Mn: 0.678 0.645 0.000
Mn: 0.657 0.347 0.340

---

Here is ScRe4Br after structural relaxation from the Alexandria database. Energies are from GGA-PBE.

**Symmetry**: F-43m
**Total DFT energy (no corrections)**: -8.977 eV/atom
**Crystal system**: cubic
**Raw formation energy**: 0.656 eV/atom

a = 5.309 Å, b = 5.309 Å, c = 5.309 Å
α = 60.00°, β = 60.00°, γ = 60.00°
Fractional positions:
Br: 0.000 0.000 0.000
Re: 0.375 0.375 0.876
Re: 0.876 0.375 0.375
Sc: 0.750 0.750 0.750
Re: 0.375 0.375 0.375
Re: 0.375 0.876 0.375

---

Here is La2Mg3In4 after structural relaxation from the Alexandria database. Energies are from GGA-PBE.

**Symmetry**: Cmce
**Total DFT energy (no corrections)**: -3.185 eV/atom
**Crystal system**: orthorhombic
**Energy of formation from the pure elements**: -341 meV per atom

a = 6.491 Å, b = 8.581 Å, c = 9.213 Å
α = 90.00°, β = 110.62°, γ = 90.00°
Fractional positions:
In: 0.673 0.520 0.346
In: 0.312 0.250 0.124
Mg: 0.017 0.750 0.534
La: 0.103 0.598 0.207
In: 0.812 0.250 0.124
Mg: 0.500 0.500 0.000
Mg: 0.983 0.250 0.466
La: 0.603 0.902 0.207
Mg: 0.000 0.000 0.000
La: 0.897 0.402 0.793
In: 0.688 0.750 0.876
In: 0.827 0.020 0.654
Mg: 0.483 0.250 0.466
In: 0.327 0.480 0.654
In: 0.173 0.980 0.346
La: 0.397 0.098 0.793
In: 0.188 0.750 0.876
Mg: 0.517 0.750 0.534

---

Here is Sm2TmAu6 after structural relaxation from the Alexandria database. Energies are from GGA-PBE.

**Symmetry**: P-3m1
**Total DFT energy (no corrections)**: -4.375 eV/atom
**Crystal system**: trigonal
**Energy of formation from the pure elements**: -645 meV per atom

a = 5.506 Å, b = 6.611 Å, c = 6.610 Å
α = 120.00°, β = 90.00°, γ = 90.00°
Fractional positions:
Au: 0.178 0.188 0.812
Au: 0.822 0.812 0.624
Au: 0.822 0.812 0.188
Sm: 0.662 0.333 0.667
Tm: 0.500 0.000 0.000
Au: 0.822 0.376 0.188
Au: 0.178 0.188 0.376
Sm: 0.338 0.667 0.333
Au: 0.178 0.624 0.812

---

Here is CoCuAu2 after structural relaxation from the Alexandria database. Energies are from GGA-PBE.

**Symmetry**: R3m
**Total DFT energy (no corrections)**: -4.226 eV/atom
**Crystal system**: trigonal
**Energy of formation from the pure elements**: 213 meV per atom

a = 9.149 Å, b = 9.149 Å, c = 9.149 Å
α = 17.59°, β = 17.59°, γ = 17.59°
Fractional positions:
Au: 0.007 0.007 0.007
Co: 0.494 0.494 0.494
Au: 0.243 0.243 0.243
Cu: 0.756 0.756 0.756

---

Here is BaPmInI6 after structural relaxation from the Alexandria database. Energies are from GGA-PBE.

**Symmetry**: P-31c
**Total DFT energy (no corrections)**: -3.389 eV/atom
**Crystal system**: trigonal
**Raw formation energy**: -1.310 eV/atom

a = 8.486 Å, b = 8.486 Å, c = 14.820 Å
α = 90.00°, β = 90.00°, γ = 120.00°
Fractional positions:
I: 0.032 0.369 0.627
Ba: 0.667 0.333 0.750
Pm: 0.333 0.667 0.750
I: 0.369 0.032 0.127
In: 0.000 0.000 0.000
I: 0.631 0.968 0.873
In: 0.000 0.000 0.500
Pm: 0.667 0.333 0.250
Ba: 0.333 0.667 0.250
I: 0.337 0.369 0.873
I: 0.032 0.663 0.873
I: 0.968 0.337 0.127
I: 0.663 0.631 0.127
I: 0.369 0.337 0.373
I: 0.663 0.032 0.373
I: 0.631 0.663 0.627
I: 0.968 0.631 0.373
I: 0.337 0.968 0.627

---

Here is TmHF after structural relaxation from the Alexandria database. Energies are from GGA-PBE.

**Symmetry**: F-43m
**Polymorph energy (0 for the lowest one)**: 0.1185 eV per atom
**Total DFT energy (no corrections)**: -5.127 eV/atom
**Crystal system**: cubic

a = 3.758 Å, b = 3.758 Å, c = 3.758 Å
α = 60.00°, β = 60.00°, γ = 60.00°
Fractional positions:
F: 0.500 0.500 0.500
H: 0.000 0.000 0.000
Tm: 0.250 0.250 0.250

---

Here is MnSnW3 after structural relaxation from the Alexandria database. Energies are from GGA-PBE.

**Symmetry**: Pm-3m
**Total DFT energy (no corrections)**: -9.147 eV/atom
**Crystal system**: cubic
**Energy of formation from the pure elements**: 1260 meV per atom

a = 4.523 Å, b = 4.523 Å, c = 4.523 Å
α = 90.00°, β = 90.00°, γ = 90.00°
Fractional positions:
W: 0.000 0.500 0.000
W: 0.500 0.000 0.000
W: 0.000 0.000 0.500
Sn: 0.500 0.500 0.500
Mn: 0.000 0.000 0.000

---

Here is Ir2OsBrF after structural relaxation from the Alexandria database. Energies are from GGA-PBE.

**Symmetry**: P4/mmm
**Total DFT energy (no corrections)**: -5.451 eV/atom
**Crystal system**: tetragonal
**Raw formation energy**: 1.048 eV/atom

a = 4.835 Å, b = 4.029 Å, c = 4.835 Å
α = 90.00°, β = 90.00°, γ = 90.00°
Fractional positions:
Os: 0.000 0.000 0.000
F: 0.000 0.500 0.000
Ir: 0.500 0.000 0.000
Ir: 0.000 0.000 0.500
Br: 0.500 0.500 0.500

---

Here is Np2Mn2P2N after structural relaxation from the Alexandria database. Energies are from GGA-PBE.

**Symmetry**: I4/mmm
**Total DFT energy (no corrections)**: -9.674 eV/atom
**Crystal system**: tetragonal
**Raw formation energy**: -0.622 eV/atom

a = 3.845 Å, b = 3.845 Å, c = 7.515 Å
α = 104.82°, β = 104.82°, γ = 90.00°
Fractional positions:
P: 0.383 0.383 0.767
P: 0.617 0.617 0.233
Mn: 0.500 0.000 0.000
Np: 0.171 0.171 0.342
Np: 0.829 0.829 0.658
Mn: 0.000 0.500 0.000
N: 0.000 0.000 0.000

---

Here is CdH8Ru2 after structural relaxation from the Alexandria database. Energies are from GGA-PBE.

**Symmetry**: Cm
**Total DFT energy (no corrections)**: -4.049 eV/atom
**Crystal system**: monoclinic

a = 3.547 Å, b = 4.884 Å, c = 4.884 Å
α = 104.81°, β = 87.69°, γ = 87.69°
Fractional positions:
H: 0.283 0.539 0.539
H: 0.419 0.080 0.362
H: 0.581 0.632 0.914
H: 0.000 0.684 0.312
Cd: 0.000 0.996 0.996
Ru: 0.500 0.704 0.290
H: 0.419 0.362 0.080
H: 0.581 0.914 0.632
H: 0.717 0.453 0.453
Ru: 0.500 0.290 0.704
H: 0.000 0.312 0.684

---

Here is CsErCu2Br8 after structural relaxation from the Alexandria database. Energies are from GGA-PBE.

**Symmetry**: C2/m
**Total DFT energy (no corrections)**: -3.255 eV/atom
**Crystal system**: monoclinic
**Raw formation energy**: -1.006 eV/atom

a = 6.607 Å, b = 6.607 Å, c = 10.755 Å
α = 86.70°, β = 86.70°, γ = 72.05°
Fractional positions:
Br: 0.334 0.334 0.582
Cu: 0.632 0.632 0.207
Cu: 0.368 0.368 0.793
Br: 0.261 0.261 0.995
Br: 0.245 0.765 0.806
Er: 0.000 0.000 0.000
Br: 0.739 0.739 0.005
Br: 0.765 0.245 0.806
Br: 0.666 0.666 0.418
Br: 0.755 0.235 0.194
Cs: 0.000 0.000 0.500
Br: 0.235 0.755 0.194